[1]
## LaIr (PBE-GGA)

Data for a relaxed LaIr crystal.

a b c (Å): 6.089 6.089 6.089
angles (deg): 140.13 140.01 57.75
Positions (direct):
La 0.375 0.125 0.250
La 0.625 0.875 0.750
Ir 0.124 0.374 0.750
Ir 0.876 0.626 0.250

Calculated values
The calculation puts the electronic total energy at -29.29 eV/cell. Its space group is Imma.

---

[2]
## SrIn2Au (PBE-GGA)

Data for a relaxed SrIn2Au crystal.

a b c (Å): 5.231 5.231 5.231
angles (deg): 60.00 60.00 60.00
Positions (direct):
Sr 0.000 0.000 0.000
In 0.250 0.250 0.250
In 0.750 0.750 0.750
Au 0.500 0.500 0.500

Calculated values
The calculation puts the electronic total energy at -11.57 eV/cell. Its space group is Fm-3m.